Arrangement w

Computed, not measured: TaAsW at its PBEsol-relaxed geometry at the SCAN level of DFT.

a b c (Å): 4.3102 4.3102 4.3102
angles (deg): 60.00 60.00 60.00
Element x y z (fractional)
Ta  0.5000  0.5000  0.5000
W  0.2500  0.2500  0.2500
As  0.0000  0.0000  0.0000

- density (g/cm3) = 12.9
- N(E_F) (states/eV/cell) = 2.596
- calculated volume (Å³/cell) = 56.62

---

Arrangement x

Computed, not measured: TaAsW at its PBEsol-relaxed geometry at the SCAN level of DFT.

a b c (Å): 2.9953 2.9953 6.3164
angles (deg): 90.00 90.00 120.00
Element x y z (fractional)
W  0.3333  0.6667  0.3113
As  0.0000  0.0000  0.0109
Ta  0.6667  0.3333  0.6778

- density (g/cm3) = 14.9
- N(E_F) (states/eV/cell) = 1.752
- calculated volume (Å³/cell) = 49.08

---

Most stable one: arrangement x, least stable one: arrangement w.

---

Arrangement w

Computed, not measured: Tc2As at its PBEsol-relaxed geometry at the SCAN level of DFT.

a b c (Å): 2.9927 4.6728 6.9210
angles (deg): 109.54 90.00 108.68
Element x y z (fractional)
Tc  0.6816  0.3632  0.1454
Tc  0.3519  0.7039  0.4687
Tc  0.3184  0.6368  0.8546
Tc  0.6481  0.2961  0.5313
As  0.9757  0.9515  0.2092
As  0.0243  0.0485  0.7908

- density (g/cm3) = 10.5
- N(E_F) (states/eV/cell) = 2.714
- calculated volume (Å³/cell) = 85.78

---

Arrangement x

Computed, not measured: Tc2As at its PBEsol-relaxed geometry at the SCAN level of DFT.

a b c (Å): 2.9390 2.9390 5.2504
angles (deg): 106.25 106.25 90.00
Element x y z (fractional)
Tc  0.1606  0.1606  0.3211
Tc  0.8394  0.8394  0.6789
As  0.5000  0.5000  0.0000

- density (g/cm3) = 10.8
- N(E_F) (states/eV/cell) = 1.761
- calculated volume (Å³/cell) = 41.65

---

Most stable one: arrangement w, least stable one: arrangement x.

---

Arrangement w

Computed, not measured: Tc2As at its PBEsol-relaxed geometry at the SCAN level of DFT.

a b c (Å): 3.0000 4.1911 4.1911
angles (deg): 120.00 90.00 90.00
Element x y z (fractional)
As  0.0000  0.0000  0.0000
Tc  0.5000  0.6667  0.3333
Tc  0.5000  0.3333  0.6667

- density (g/cm3) = 9.9
- N(E_F) (states/eV/cell) = 2.487
- calculated volume (Å³/cell) = 45.64

---

Arrangement x

Computed, not measured: Tc2As at its PBEsol-relaxed geometry at the SCAN level of DFT.

a b c (Å): 2.8650 4.4442 6.8818
angles (deg): 90.00 102.01 90.00
Element x y z (fractional)
Tc  0.4504  0.7500  0.9008
Tc  0.5496  0.2500  0.0992
Tc  0.1172  0.7500  0.2343
Tc  0.8828  0.2500  0.7657
As  0.2088  0.2500  0.4176
As  0.7912  0.7500  0.5824

- density (g/cm3) = 10.5
- N(E_F) (states/eV/cell) = 3.343
- calculated volume (Å³/cell) = 85.70

---

Most stable one: arrangement x, least stable one: arrangement w.

---

Arrangement w

Computed, not measured: TcTeAs at its PBEsol-relaxed geometry at the SCAN level of DFT.

a b c (Å): 3.3683 3.3683 5.9507
angles (deg): 90.00 90.00 120.00
Element x y z (fractional)
Tc  0.6667  0.3333  0.6828
As  0.0000  0.0000  0.9475
Te  0.3333  0.6667  0.3697

- density (g/cm3) = 8.5
- N(E_F) (states/eV/cell) = 1.353
- calculated volume (Å³/cell) = 58.47

---

Arrangement x

Computed, not measured: TcTeAs at its PBEsol-relaxed geometry at the SCAN level of DFT.

a b c (Å): 4.4748 4.4748 4.4748
angles (deg): 60.00 60.00 60.00
Last column: magnetic moment on the atom in μB.
Element x y z (fractional)
As  0.0000  0.0000  0.0000  -0.01
Tc  0.5000  0.5000  0.5000  0.29
Te  0.2500  0.2500  0.2500  -0.02

- density (g/cm3) = 7.9
- N(E_F) (states/eV/cell) = 2.913
- calculated volume (Å³/cell) = 63.36

---

Most stable one: arrangement w, least stable one: arrangement x.

---

Arrangement w

Computed, not measured: YTc2As at its PBEsol-relaxed geometry at the SCAN level of DFT.

a b c (Å): 3.0055 3.0055 8.1957
angles (deg): 90.00 90.00 112.61
Element x y z (fractional)
Tc  0.0000  0.0000  0.2167
Tc  0.0000  0.0000  0.7833
As  0.5000  0.5000  0.0000
Y  0.5000  0.5000  0.5000

- density (g/cm3) = 8.7
- N(E_F) (states/eV/cell) = 4.493
- calculated volume (Å³/cell) = 68.34

---

Arrangement x

Computed, not measured: YTc2As at its PBEsol-relaxed geometry at the SCAN level of DFT.

a b c (Å): 2.9340 5.0161 5.3391
angles (deg): 117.64 105.35 91.22
Element x y z (fractional)
Y  0.5000  0.0000  0.0000
As  0.0000  0.5000  0.0000
Tc  0.0000  0.0000  0.5000
Tc  0.5000  0.5000  0.5000

- density (g/cm3) = 9.0
- N(E_F) (states/eV/cell) = 3.653
- calculated volume (Å³/cell) = 66.17

---

Most stable one: arrangement x, least stable one: arrangement w.

---

Arrangement w

Computed, not measured: YTcAs2 at its PBEsol-relaxed geometry at the SCAN level of DFT.

a b c (Å): 3.2361 3.6124 6.8635
angles (deg): 105.26 103.64 90.00
Element x y z (fractional)
Tc  0.5440  0.5440  0.0880
Y  0.7991  0.2991  0.5982
As  0.9676  0.9676  0.9353
As  0.1892  0.6892  0.3785

- density (g/cm3) = 7.4
- N(E_F) (states/eV/cell) = 1.042
- calculated volume (Å³/cell) = 75.06

---

Arrangement x

Computed, not measured: YTcAs2 at its PBEsol-relaxed geometry at the SCAN level of DFT.

a b c (Å): 3.9509 3.9509 6.0320
angles (deg): 70.88 70.88 60.00
Last column: magnetic moment on the atom in μB.
Element x y z (fractional)
Y  0.0000  0.0000  0.0000  0.01
As  0.7672  0.7672  0.6984  0.04
As  0.2328  0.2328  0.3016  0.04
Tc  0.5000  0.5000  0.5000  1.17

- density (g/cm3) = 7.4
- N(E_F) (states/eV/cell) = 3.318
- calculated volume (Å³/cell) = 75.49

---

Most stable one: arrangement x, least stable one: arrangement w.

---

Arrangement w

Computed, not measured: ZrTcAs2 at its PBEsol-relaxed geometry at the SCAN level of DFT.

a b c (Å): 3.9886 3.9886 9.4450
angles (deg): 102.19 102.19 90.00
Element x y z (fractional)
Tc  0.0000  0.0000  0.0000
Tc  0.2500  0.7500  0.5000
As  0.3401  0.8750  0.2500
As  0.9099  0.3750  0.2500
As  0.6250  0.6599  0.7500
As  0.1250  0.0901  0.7500
Zr  0.5000  0.5000  0.0000
Zr  0.7500  0.2500  0.5000

- density (g/cm3) = 7.9
- N(E_F) (states/eV/cell) = 6.188
- calculated volume (Å³/cell) = 143.40

---

Arrangement x

Computed, not measured: ZrTcAs2 at its PBEsol-relaxed geometry at the SCAN level of DFT.

a b c (Å): 3.0997 3.0997 8.2537
angles (deg): 79.18 79.18 60.00
Element x y z (fractional)
Zr  0.0000  0.0000  0.0000
As  0.7592  0.7592  0.7225
As  0.2408  0.2408  0.2775
Tc  0.5000  0.5000  0.5000

- density (g/cm3) = 8.4
- N(E_F) (states/eV/cell) = 3.251
- calculated volume (Å³/cell) = 67.04

---

Most stable one: arrangement x, least stable one: arrangement w.

---

Arrangement w

Computed, not measured: ZrTc2As2 at its PBEsol-relaxed geometry at the SCAN level of DFT.

a b c (Å): 4.2244 4.2244 5.5734
angles (deg): 112.27 112.27 90.00
Element x y z (fractional)
Tc  0.2500  0.7500  0.5000
Tc  0.7500  0.2500  0.5000
Zr  0.0000  0.0000  0.0000
As  0.3712  0.3712  0.7425
As  0.6288  0.6288  0.2575

- density (g/cm3) = 8.6
- N(E_F) (states/eV/cell) = 2.198
- calculated volume (Å³/cell) = 83.97

---

Arrangement x

Computed, not measured: ZrTc2As2 at its PBEsol-relaxed geometry at the SCAN level of DFT.

a b c (Å): 4.4527 4.4527 5.3707
angles (deg): 114.49 114.49 90.00
Element x y z (fractional)
Tc  0.3709  0.3709  0.7418
Tc  0.6291  0.6291  0.2582
Zr  0.0000  0.0000  0.0000
As  0.2500  0.7500  0.5000
As  0.7500  0.2500  0.5000

- density (g/cm3) = 8.4
- N(E_F) (states/eV/cell) = 1.686
- calculated volume (Å³/cell) = 86.27

---

Most stable one: arrangement w, least stable one: arrangement x.